First-principles (GGA-PBE) data for SmLuTl after structural relaxation, as listed in Alexandria.

```
SmLuTl
1.0
-0.026 -3.740 0.301
2.854 0.332 4.379
-5.230 0.059 0.272
Tl Lu Sm
1 1 1
Direct
0.188 0.333 0.667 Tl
0.152 0.000 0.000 Lu
0.660 0.667 0.333 Sm
```

Output
Magnetic moment in μB per atom: 0.000
ρ in Mg/m³: 9.87
Energy relative to the elements in eV/f.u.: -0.46
Excess energy over the best structure of this formula in the dataset in meV/atom: 59


First-principles (GGA-PBE) data for KRe2ClF after structural relaxation, as listed in Alexandria.

```
KRe2ClF
1.0
-1.491 -5.324 3.739
3.816 -3.823 -3.922
4.298 1.029 3.179
Re K F Cl
2 1 1 1
Direct
0.000 0.500 0.000 Re
0.500 0.000 0.000 Re
0.000 0.000 0.000 K
0.500 0.500 0.500 F
0.000 0.000 0.500 Cl
```

Output
Magnetic moment in μB per atom: 2.200
ρ in Mg/m³: 3.19
Formation energy from raw total energies in eV/atom: 2.32


First-principles (GGA-PBE) data for RbLaIn2Fe after structural relaxation, as listed in Alexandria.

```
RbLaIn2Fe
1.0
-3.015 -2.752 3.398
3.083 -3.963 -0.474
2.929 1.793 4.052
In Fe Rb La
2 1 1 1
Direct
0.000 0.000 0.500 In
0.500 0.000 0.000 In
0.000 0.000 0.000 Fe
0.500 0.500 0.500 Rb
0.000 0.500 0.000 La
```

Output
Magnetic moment in μB per atom: 0.002
ρ in Mg/m³: 5.95
Energy relative to the elements in eV/f.u.: -0.26


First-principles (GGA-PBE) data for CoSbP2 after structural relaxation, as listed in Alexandria.

```
CoSbP2
1.0
-0.557 -4.368 0.540
3.795 1.270 1.914
-0.153 -0.937 4.332
Co P Sb
1 2 1
Direct
0.000 0.500 0.500 Co
0.000 0.000 0.000 P
0.500 0.500 0.000 P
0.500 0.000 0.500 Sb
```

Output
Magnetic moment in μB per atom: 0.000
ρ in Mg/m³: 6.00
Formation energy from raw total energies in eV/atom: 0.32


First-principles (GGA-PBE) data for ThSnGeAu after structural relaxation, as listed in Alexandria.

```
ThSnGeAu
1.0
-2.858 0.684 4.194
1.608 -1.800 4.516
1.543 3.246 3.648
Ge Au Sn Th
1 1 1 1
Direct
0.250 0.250 0.250 Ge
0.750 0.750 0.750 Au
0.500 0.500 0.500 Sn
0.000 0.000 0.000 Th
```

Output
Magnetic moment in μB per atom: 0.000
ρ in Mg/m³: 10.85
Energy relative to the elements in eV/f.u.: -1.50


First-principles (GGA-PBE) data for MnSiSnIrS after structural relaxation, as listed in Alexandria.

```
MnSiSnIrS
1.0
-2.211 -0.827 1.636
1.936 -1.005 2.108
0.587 9.523 3.153
S Ir Si Sn Mn
1 1 1 1 1
Direct
0.264 0.889 0.649 S
0.967 0.963 0.067 Ir
0.408 0.439 0.945 Si
0.588 0.023 0.317 Sn
0.813 0.408 0.749 Mn
```

Output
Magnetic moment in μB per atom: 0.000
ρ in Mg/m³: 8.18
Formation energy from raw total energies in eV/atom: -0.24
Excess energy over the best structure of this formula in the dataset in meV/atom: 114


First-principles (GGA-PBE) data for Tb3ErP4 after structural relaxation, as listed in Alexandria.

```
Tb3ErP4
1.0
-1.099 -1.276 -3.645
6.605 0.389 -2.127
-1.232 -6.331 2.588
Tb Er P
3 1 4
Direct
0.000 0.000 0.500 Tb
0.500 0.500 0.500 Tb
0.000 0.500 0.000 Tb
0.500 0.000 0.000 Er
0.000 0.248 0.248 P
0.500 0.751 0.249 P
0.000 0.752 0.752 P
0.500 0.249 0.751 P
```

Output
Magnetic moment in μB per atom: 0.000
ρ in Mg/m³: 6.97
Energy relative to the elements in eV/f.u.: -12.89


First-principles (GGA-PBE) data for Sc2Zn2Os after structural relaxation, as listed in Alexandria.

```
Sc2Zn2Os
1.0
-0.033 -5.087 4.529
0.259 -4.527 -5.082
3.730 0.081 0.118
Sc Zn Os
4 4 2
Direct
0.186 0.686 0.500 Sc
0.686 0.814 0.500 Sc
0.814 0.314 0.500 Sc
0.314 0.186 0.500 Sc
0.376 0.876 0.000 Zn
0.876 0.624 0.000 Zn
0.624 0.124 0.000 Zn
0.124 0.376 0.000 Zn
0.000 0.000 0.000 Os
0.500 0.500 0.000 Os
```

Output
Magnetic moment in μB per atom: 0.000
ρ in Mg/m³: 7.88
Energy relative to the elements in eV/f.u.: -0.73
Excess energy over the best structure of this formula in the dataset in meV/atom: 0


First-principles (GGA-PBE) data for Sr2Ge4Ir3Au after structural relaxation, as listed in Alexandria.

```
Sr2Ge4Ir3Au
1.0
4.415 0.000 0.000
0.000 4.415 0.000
0.000 0.000 10.243
Sr Ge Ir Au
2 4 3 1
Direct
0.500 0.000 0.244 Sr
0.000 0.500 0.756 Sr
0.500 0.500 0.000 Ge
0.000 0.000 0.000 Ge
0.500 0.000 0.636 Ge
0.000 0.500 0.364 Ge
0.000 0.000 0.500 Ir
0.500 0.000 0.879 Ir
0.000 0.500 0.121 Ir
0.500 0.500 0.500 Au
```

Output
Magnetic moment in μB per atom: 0.000
ρ in Mg/m³: 10.31
Energy relative to the elements in eV/f.u.: -5.19


First-principles (GGA-PBE) data for AcLa2TbNd2 after structural relaxation, as listed in Alexandria.

```
AcLa2TbNd2
1.0
-5.751 0.600 -1.045
-1.504 -3.161 6.463
0.136 9.145 4.504
Ac La Tb Nd
2 4 2 4
Direct
0.000 0.008 0.500 Ac
0.000 0.508 0.500 Ac
0.500 0.008 0.000 La
0.000 0.258 0.165 La
0.500 0.508 0.000 La
0.000 0.758 0.835 La
0.500 0.258 0.667 Tb
0.500 0.758 0.333 Tb
0.000 0.257 0.836 Nd
0.500 0.258 0.330 Nd
0.000 0.757 0.164 Nd
0.500 0.758 0.670 Nd
```

Output
Magnetic moment in μB per atom: 0.000
ρ in Mg/m³: 7.18
Energy relative to the elements in eV/f.u.: 0.28


First-principles (GGA-PBE) data for Zr3CdN after structural relaxation, as listed in Alexandria.

```
Zr3CdN
1.0
4.969 0.000 1.796
-2.485 4.304 1.796
-2.485 -4.304 1.796
N Zr Cd
1 3 1
Direct
0.174 0.174 0.174 N
0.439 0.056 0.439 Zr
0.056 0.439 0.439 Zr
0.439 0.439 0.056 Zr
0.768 0.768 0.768 Cd
```

Output
Magnetic moment in μB per atom: 0.000
ρ in Mg/m³: 5.77
Formation energy from raw total energies in eV/atom: -0.04


First-principles (GGA-PBE) data for Ce4PtRh12 after structural relaxation, as listed in Alexandria.

```
Ce4PtRh12
1.0
6.869 0.000 -2.429
-3.435 5.949 -2.429
0.000 0.000 7.286
Ce Pt Rh
4 1 12
Direct
0.000 0.000 0.500 Ce
0.500 0.000 0.000 Ce
0.500 0.500 0.500 Ce
0.000 0.500 0.000 Ce
0.000 0.000 0.000 Pt
0.000 0.302 0.302 Rh
0.000 0.698 0.698 Rh
0.698 0.698 0.000 Rh
0.302 0.302 0.000 Rh
0.302 0.000 0.302 Rh
0.698 0.000 0.698 Rh
0.500 0.250 0.750 Rh
0.500 0.750 0.250 Rh
0.750 0.250 0.500 Rh
0.250 0.750 0.500 Rh
0.750 0.500 0.250 Rh
0.250 0.500 0.750 Rh
```

Output
Magnetic moment in μB per atom: 0.000
ρ in Mg/m³: 11.10
Energy relative to the elements in eV/f.u.: -8.79


First-principles (GGA-PBE) data for Tb2NdTm3Sb6 after structural relaxation, as listed in Alexandria.

```
Tb2NdTm3Sb6
1.0
4.392 0.000 0.000
0.000 8.772 0.322
-2.196 -2.518 9.227
Tb Nd Tm Sb
2 1 3 6
Direct
0.833 0.666 0.665 Tb
0.167 0.334 0.335 Tb
0.500 0.000 0.000 Nd
0.500 0.500 0.000 Tm
0.834 0.168 0.668 Tm
0.166 0.832 0.332 Tm
0.330 0.918 0.660 Sb
0.666 0.586 0.331 Sb
0.670 0.082 0.340 Sb
0.000 0.258 0.999 Sb
0.000 0.742 0.001 Sb
0.334 0.414 0.669 Sb
```

Output
Magnetic moment in μB per atom: 0.000
ρ in Mg/m³: 7.86
Formation energy from raw total energies in eV/atom: -1.11


First-principles (GGA-PBE) data for La2DyY7 after structural relaxation, as listed in Alexandria.

```
La2DyY7
1.0
7.664 -2.418 0.647
-3.972 8.168 -2.940
0.332 0.034 6.214
La Dy Y
2 1 7
Direct
0.503 0.701 0.601 La
0.497 0.299 0.399 La
0.000 0.000 0.000 Dy
0.000 0.799 0.400 Y
0.000 0.201 0.600 Y
0.000 0.602 0.801 Y
0.000 0.398 0.199 Y
0.499 0.900 0.200 Y
0.501 0.100 0.800 Y
0.500 0.500 0.000 Y
```

Output
Magnetic moment in μB per atom: 0.000
ρ in Mg/m³: 5.34
Energy relative to the elements in eV/f.u.: 0.23
Excess energy over the best structure of this formula in the dataset in meV/atom: 0


First-principles (GGA-PBE) data for NiHCSe2 after structural relaxation, as listed in Alexandria.

```
NiHCSe2
1.0
4.505 0.000 0.000
0.000 2.845 0.000
0.000 0.000 4.505
Ni C Se H
1 1 2 1
Direct
0.500 0.500 0.500 Ni
0.000 0.000 0.000 C
0.000 0.000 0.500 Se
0.500 0.000 0.000 Se
0.000 0.500 0.000 H
```

Output
Magnetic moment in μB per atom: 0.000
ρ in Mg/m³: 6.60


First-principles (GGA-PBE) data for LiAl2Cl after structural relaxation, as listed in Alexandria.

```
LiAl2Cl
1.0
-3.406 -5.564 -1.436
-0.963 -5.656 -3.421
2.340 -1.537 2.951
Al Cl Li
2 1 1
Direct
0.972 0.972 0.989 Al
0.528 0.528 0.511 Al
0.750 0.750 0.750 Cl
0.250 0.250 0.250 Li
```

Output
Magnetic moment in μB per atom: 0.000
ρ in Mg/m³: 1.94
Formation energy from raw total energies in eV/atom: -0.41
Excess energy over the best structure of this formula in the dataset in meV/atom: 89


First-principles (GGA-PBE) data for PbSe2Cl after structural relaxation, as listed in Alexandria.

```
PbSe2Cl
1.0
-2.317 0.717 3.535
-1.289 -3.847 -0.065
5.570 -2.351 4.128
Cl Pb Se
1 1 2
Direct
0.000 0.407 0.602 Cl
0.500 0.805 0.750 Pb
0.000 0.986 0.074 Se
0.500 0.303 0.074 Se
```

Output
Magnetic moment in μB per atom: 0.000
ρ in Mg/m³: 5.23
Formation energy from raw total energies in eV/atom: -0.40
Excess energy over the best structure of this formula in the dataset in meV/atom: 27


First-principles (GGA-PBE) data for SmAu after structural relaxation, as listed in Alexandria.

```
SmAu
1.0
4.829 0.000 0.000
0.000 5.742 0.000
0.000 0.000 7.381
Au Sm
4 4
Direct
0.250 0.153 0.040 Au
0.750 0.847 0.960 Au
0.750 0.653 0.460 Au
0.250 0.347 0.540 Au
0.250 0.648 0.187 Sm
0.750 0.352 0.813 Sm
0.750 0.148 0.313 Sm
0.250 0.852 0.687 Sm
```

Output
Magnetic moment in μB per atom: 0.000
ρ in Mg/m³: 11.27
Energy relative to the elements in eV/f.u.: -1.66


First-principles (GGA-PBE) data for HoZn4Pd4 after structural relaxation, as listed in Alexandria.

```
HoZn4Pd4
1.0
4.456 0.000 0.000
0.000 8.158 0.000
0.000 0.000 8.158
Ho Zn Pd
2 8 8
Direct
0.000 0.000 0.000 Ho
0.500 0.500 0.500 Ho
0.500 0.429 0.866 Zn
0.000 0.634 0.929 Zn
0.500 0.571 0.134 Zn
0.000 0.071 0.634 Zn
0.500 0.866 0.571 Zn
0.000 0.929 0.366 Zn
0.000 0.366 0.071 Zn
0.500 0.134 0.429 Zn
0.500 0.872 0.222 Pd
0.500 0.128 0.778 Pd
0.000 0.722 0.628 Pd
0.000 0.372 0.722 Pd
0.000 0.628 0.278 Pd
0.500 0.222 0.128 Pd
0.500 0.778 0.872 Pd
0.000 0.278 0.372 Pd
```

Output
Magnetic moment in μB per atom: 0.000
ρ in Mg/m³: 9.54
Energy relative to the elements in eV/f.u.: -4.56


First-principles (GGA-PBE) data for ScBe4Fe after structural relaxation, as listed in Alexandria.

```
ScBe4Fe
1.0
4.443 0.000 0.000
2.221 3.848 0.000
2.221 1.283 3.628
Be Fe Sc
4 1 1
Direct
0.132 0.623 0.623 Be
0.623 0.623 0.623 Be
0.623 0.132 0.623 Be
0.623 0.623 0.132 Be
0.250 0.250 0.250 Fe
0.000 0.000 0.000 Sc
```

Output
Magnetic moment in μB per atom: 0.164
ρ in Mg/m³: 3.66
Energy relative to the elements in eV/f.u.: -1.23


DFT total energy readings, ordered: -4.02; -3.63; -4.02; -5.19; -5.20; -6.56; -6.62; -5.43; -5.69; -4.64; -7.02; -7.46; -5.46; -5.95; -4.31; -3.22; -3.53; -4.83; -3.89; -5.16 eV per atom